[1]
! Li2MgAg | Alexandria | PBEsol | optimized geometry; values from VASP
! Total moment in Bohr magnetons per cell: 0.000
! Formation energy from the elements in eV/atom: -0.116
! Electronic total energy in eV for the cell shown: -9.43
! DOS at the Fermi energy in states/eV per cell: 1.6
! Space-group type: P2/m (10)
&SYSTEM
  ibrav = 0, nat = 4, ntyp = 3
/
ATOMIC_SPECIES
Li 6.94 Li.upf
Mg 24.30 Mg.upf
Ag 107.87 Ag.upf
ATOMIC_POSITIONS crystal
Li 0.7672 0.0000 0.7328
Li 0.2328 0.0000 0.2672
Mg 0.5000 0.5000 0.0000
Ag 0.0000 0.5000 0.5000
CELL_PARAMETERS angstrom
2.9378 0.0000 0.0067
0.0000 4.6953 0.0000
-0.6937 0.0000 5.0532

[2]
! Li2MgAg | Alexandria | PBEsol | optimized geometry; values from VASP
! Total moment in Bohr magnetons per cell: 0.000
! Formation energy from the elements in eV/atom: -0.146
! Electronic total energy in eV for the cell shown: -9.55
! DOS at the Fermi energy in states/eV per cell: 1.8
! Space-group type: Immm (71)
&SYSTEM
  ibrav = 0, nat = 4, ntyp = 3
/
ATOMIC_SPECIES
Li 6.94 Li.upf
Ag 107.87 Ag.upf
Mg 24.30 Mg.upf
ATOMIC_POSITIONS crystal
Li 0.2645 0.2645 0.5290
Li 0.7355 0.7355 0.4710
Ag 0.0000 0.5000 0.0000
Mg 0.5000 0.0000 0.0000
CELL_PARAMETERS angstrom
3.3864 0.0000 0.0000
0.0000 4.4768 0.0000
-1.6932 -2.2384 4.5868

[3]
! LiMg2Ag | Alexandria | PBEsol | optimized geometry; values from VASP
! Total moment in Bohr magnetons per cell: 0.000
! Formation energy from the elements in eV/atom: -0.216
! Electronic total energy in eV for the cell shown: -9.57
! DOS at the Fermi energy in states/eV per cell: 1.1
! Space-group type: Fm-3m (225)
&SYSTEM
  ibrav = 0, nat = 4, ntyp = 3
/
ATOMIC_SPECIES
Mg 24.30 Mg.upf
Ag 107.87 Ag.upf
Li 6.94 Li.upf
ATOMIC_POSITIONS crystal
Mg 0.7500 0.7500 0.7500
Mg 0.2500 0.2500 0.2500
Ag 0.5000 0.5000 0.5000
Li 0.0000 0.0000 0.0000
CELL_PARAMETERS angstrom
-1.8523 -2.7715 3.2548
-0.9690 -4.4455 -1.0023
2.5498 -3.4196 1.8737

[4]
! LiMg2Ag | Alexandria | PBEsol | optimized geometry; values from VASP
! Total moment in Bohr magnetons per cell: 0.000
! Formation energy from the elements in eV/atom: -0.127
! Electronic total energy in eV for the cell shown: -9.22
! DOS at the Fermi energy in states/eV per cell: 1.3
! Space-group type: Pm (6)
&SYSTEM
  ibrav = 0, nat = 4, ntyp = 3
/
ATOMIC_SPECIES
Ag 107.87 Ag.upf
Mg 24.30 Mg.upf
Li 6.94 Li.upf
ATOMIC_POSITIONS crystal
Ag 0.3655 0.0000 0.4962
Mg 0.0294 0.0000 0.9668
Mg 0.7300 0.5000 0.2856
Li 0.3750 0.5000 0.7514
CELL_PARAMETERS angstrom
-2.4678 1.5480 0.4646
-1.0985 -2.7964 3.4824
3.7195 2.5784 3.2438

[5]
! LiMg2Ag | Alexandria | PBEsol | optimized geometry; values from VASP
! Total moment in Bohr magnetons per cell: 0.000
! Formation energy from the elements in eV/atom: -0.172
! Electronic total energy in eV for the cell shown: -9.40
! DOS at the Fermi energy in states/eV per cell: 1.2
! Space-group type: P4/mmm (123)
&SYSTEM
  ibrav = 0, nat = 4, ntyp = 3
/
ATOMIC_SPECIES
Mg 24.30 Mg.upf
Li 6.94 Li.upf
Ag 107.87 Ag.upf
ATOMIC_POSITIONS crystal
Mg 0.0000 0.0000 0.5000
Mg 0.0000 0.5000 0.0000
Li 0.5000 0.0000 0.0000
Ag 0.5000 0.5000 0.5000
CELL_PARAMETERS angstrom
3.3099 0.0000 0.0000
0.0000 4.6681 0.0000
0.0000 0.0000 4.6681

[6]
! Li2MgAg | Alexandria | PBEsol | optimized geometry; values from VASP
! Total moment in Bohr magnetons per cell: 0.000
! Formation energy from the elements in eV/atom: -0.134
! Electronic total energy in eV for the cell shown: -9.50
! DOS at the Fermi energy in states/eV per cell: 1.3
! Space-group type: Pmm2 (25)
&SYSTEM
  ibrav = 0, nat = 4, ntyp = 3
/
ATOMIC_SPECIES
Mg 24.30 Mg.upf
Ag 107.87 Ag.upf
Li 6.94 Li.upf
ATOMIC_POSITIONS crystal
Mg 0.0000 0.0000 0.5178
Ag 0.5000 0.5000 0.7565
Li 0.5000 0.5000 0.2373
Li 0.0000 0.0000 0.9884
CELL_PARAMETERS angstrom
-0.9885 -2.0977 1.8964
0.2727 -2.7120 -2.8579
5.5899 -1.1583 1.6325

[7]
! Li2MgAg | Alexandria | PBEsol | optimized geometry; values from VASP
! Total moment in Bohr magnetons per cell: 0.000
! Formation energy from the elements in eV/atom: -0.069
! Electronic total energy in eV for the cell shown: -9.24
! DOS at the Fermi energy in states/eV per cell: 1.4
! Space-group type: R-3m (166)
&SYSTEM
  ibrav = 0, nat = 4, ntyp = 3
/
ATOMIC_SPECIES
Mg 24.30 Mg.upf
Li 6.94 Li.upf
Ag 107.87 Ag.upf
ATOMIC_POSITIONS crystal
Mg 0.5000 0.5000 0.5000
Li 0.2573 0.2573 0.2280
Li 0.7427 0.7427 0.7720
Ag 0.0000 0.0000 0.0000
CELL_PARAMETERS angstrom
2.9797 0.0000 0.0000
1.4898 2.5805 0.0000
1.4898 0.8602 9.3264

[8]
! LiMg2Ag | Alexandria | PBEsol | optimized geometry; values from VASP
! Total moment in Bohr magnetons per cell: 0.000
! Formation energy from the elements in eV/atom: -0.145
! Electronic total energy in eV for the cell shown: -9.29
! DOS at the Fermi energy in states/eV per cell: 1.3
! Space-group type: P4mm (99)
&SYSTEM
  ibrav = 0, nat = 4, ntyp = 3
/
ATOMIC_SPECIES
Mg 24.30 Mg.upf
Ag 107.87 Ag.upf
Li 6.94 Li.upf
ATOMIC_POSITIONS crystal
Mg 0.0000 0.0000 0.9738
Mg 0.5000 0.5000 0.2837
Ag 0.0000 0.0000 0.5213
Li 0.5000 0.5000 0.7212
CELL_PARAMETERS angstrom
3.3203 0.0000 0.0000
0.0000 3.3203 0.0000
0.0000 0.0000 6.6219

[9]
! LiMgAg | Alexandria | PBEsol | optimized geometry; values from VASP
! Total moment in Bohr magnetons per cell: 0.000
! Formation energy from the elements in eV/atom: -0.185
! Electronic total energy in eV for the cell shown: -7.55
! DOS at the Fermi energy in states/eV per cell: 1.1
! Space-group type: I4mm (107)
&SYSTEM
  ibrav = 0, nat = 3, ntyp = 3
/
ATOMIC_SPECIES
Ag 107.87 Ag.upf
Mg 24.30 Mg.upf
Li 6.94 Li.upf
ATOMIC_POSITIONS crystal
Ag 0.0090 0.0090 0.0179
Mg 0.3374 0.3374 0.6748
Li 0.6536 0.6536 0.3072
CELL_PARAMETERS angstrom
-1.5711 2.8763 -0.5077
-2.9173 -1.5735 0.1127
2.0436 0.0494 4.7884

[10]
! Li2MgAg | Alexandria | PBEsol | optimized geometry; values from VASP
! Total moment in Bohr magnetons per cell: 0.000
! Formation energy from the elements in eV/atom: -0.150
! Electronic total energy in eV for the cell shown: -9.56
! DOS at the Fermi energy in states/eV per cell: 1.4
! Space-group type: I4/mmm (139)
&SYSTEM
  ibrav = 0, nat = 4, ntyp = 3
/
ATOMIC_SPECIES
Li 6.94 Li.upf
Ag 107.87 Ag.upf
Mg 24.30 Mg.upf
ATOMIC_POSITIONS crystal
Li 0.7500 0.2500 0.5000
Li 0.2500 0.7500 0.5000
Ag 0.0000 0.0000 0.0000
Mg 0.5000 0.5000 0.0000
CELL_PARAMETERS angstrom
-2.4995 -3.0924 -0.8074
3.1361 -2.5707 0.1378
-0.9454 2.2833 4.3758

[11]
! LiMgAg | Alexandria | PBEsol | optimized geometry; values from VASP
! Total moment in Bohr magnetons per cell: 0.000
! Formation energy from the elements in eV/atom: -0.169
! Electronic total energy in eV for the cell shown: -7.50
! DOS at the Fermi energy in states/eV per cell: 1.1
! Space-group type: P3m1 (156)
&SYSTEM
  ibrav = 0, nat = 3, ntyp = 3
/
ATOMIC_SPECIES
Li 6.94 Li.upf
Ag 107.87 Ag.upf
Mg 24.30 Mg.upf
ATOMIC_POSITIONS crystal
Li 0.7051 0.6667 0.3333
Ag 0.9444 0.0000 0.0000
Mg 0.3505 0.3333 0.6667
CELL_PARAMETERS angstrom
2.8954 0.0000 0.0000
0.0000 4.5222 0.0000
0.0000 -2.2611 3.9164

[12]
! LiMg2Ag | Alexandria | PBEsol | optimized geometry; values from VASP
! Total moment in Bohr magnetons per cell: 0.000
! Formation energy from the elements in eV/atom: -0.155
! Electronic total energy in eV for the cell shown: -9.33
! DOS at the Fermi energy in states/eV per cell: 1.1
! Space-group type: I-4m2 (119)
&SYSTEM
  ibrav = 0, nat = 4, ntyp = 3
/
ATOMIC_SPECIES
Ag 107.87 Ag.upf
Mg 24.30 Mg.upf
Li 6.94 Li.upf
ATOMIC_POSITIONS crystal
Ag 0.5000 0.5000 0.0000
Mg 0.7500 0.2500 0.5000
Mg 0.0000 0.0000 0.0000
Li 0.2500 0.7500 0.5000
CELL_PARAMETERS angstrom
-0.6957 -1.6047 -3.6483
-1.8487 -3.1510 1.7385
-2.5820 4.5239 0.7460

[13]
! Li2MgAg | Alexandria | PBEsol | optimized geometry; values from VASP
! Total moment in Bohr magnetons per cell: 0.000
! Formation energy from the elements in eV/atom: -0.170
! Electronic total energy in eV for the cell shown: -9.64
! DOS at the Fermi energy in states/eV per cell: 1.6
! Space-group type: F-43m (216)
&SYSTEM
  ibrav = 0, nat = 4, ntyp = 3
/
ATOMIC_SPECIES
Ag 107.87 Ag.upf
Li 6.94 Li.upf
Mg 24.30 Mg.upf
ATOMIC_POSITIONS crystal
Ag 0.5000 0.5000 0.5000
Li 0.0000 0.0000 0.0000
Li 0.2500 0.2500 0.2500
Mg 0.7500 0.7500 0.7500
CELL_PARAMETERS angstrom
-3.9416 2.2202 -0.7895
-3.9961 -1.9188 1.1991
-2.4103 1.7185 3.5108

[14]
! Li2MgAg | Alexandria | PBEsol | optimized geometry; values from VASP
! Total moment in Bohr magnetons per cell: 0.000
! Formation energy from the elements in eV/atom: -0.146
! Electronic total energy in eV for the cell shown: -9.55
! DOS at the Fermi energy in states/eV per cell: 1.7
! Space-group type: P4/mmm (123)
&SYSTEM
  ibrav = 0, nat = 4, ntyp = 3
/
ATOMIC_SPECIES
Mg 24.30 Mg.upf
Li 6.94 Li.upf
Ag 107.87 Ag.upf
ATOMIC_POSITIONS crystal
Mg 0.5000 0.5000 0.5000
Li 0.0000 0.5000 0.0000
Li 0.0000 0.0000 0.5000
Ag 0.5000 0.0000 0.0000
CELL_PARAMETERS angstrom
-3.8390 1.1395 1.2139
0.8760 -1.0907 3.7944
1.3497 3.7353 0.7621

[15]
! Li2MgAg | Alexandria | PBEsol | optimized geometry; values from VASP
! Total moment in Bohr magnetons per cell: 0.000
! Formation energy from the elements in eV/atom: -0.104
! Electronic total energy in eV for the cell shown: -9.38
! DOS at the Fermi energy in states/eV per cell: 1.5
! Space-group type: C2/m (12)
&SYSTEM
  ibrav = 0, nat = 4, ntyp = 3
/
ATOMIC_SPECIES
Li 6.94 Li.upf
Mg 24.30 Mg.upf
Ag 107.87 Ag.upf
ATOMIC_POSITIONS crystal
Li 0.0000 0.0000 0.5000
Li 0.5000 0.5000 0.5000
Mg 0.5000 0.0000 0.0000
Ag 0.0000 0.5000 0.0000
CELL_PARAMETERS angstrom
2.9343 0.0268 0.0000
-0.6338 4.9844 0.0000
-1.1502 -2.5056 4.7769